Entry 1:
SrNd2Rh (PBE-GGA, relaxed); spin magnetization = 0.000 μB/atom; crystal system = trigonal; ΔH_f (0 K) = -227 meV per atom
1.0
4.080 0.000 0.000
-2.040 3.533 0.000
0.000 0.000 33.210
Sr Nd Rh
3 6 3
Direct
0.000 0.000 0.000
0.333 0.667 0.667
0.667 0.333 0.333
0.000 0.000 0.120
0.000 0.000 0.880
0.333 0.667 0.547
0.333 0.667 0.786
0.667 0.333 0.214
0.667 0.333 0.453
0.000 0.000 0.500
0.333 0.667 0.167
0.667 0.333 0.833

Entry 2:
Rb2NaOsBr6 (PBE-GGA, relaxed); spin magnetization = 0.100 μB/atom; crystal system = cubic; uncorrected formation energy = -975.7 meV/atom
1.0
0.000 5.446 5.446
5.446 0.000 5.446
5.446 5.446 0.000
Rb Na Os Br
2 1 1 6
Direct
0.250 0.250 0.250
0.750 0.750 0.750
0.000 0.000 0.000
0.500 0.500 0.500
0.268 0.268 0.732
0.268 0.732 0.268
0.268 0.732 0.732
0.732 0.268 0.268
0.732 0.268 0.732
0.732 0.732 0.268

Entry 3:
La2CuRu (PBE-GGA, relaxed); spin magnetization = 0.000 μB/atom; crystal system = monoclinic; ΔH_f (0 K) = -219 meV per atom
1.0
4.044 0.000 0.000
0.000 4.405 0.000
-2.015 0.000 5.416
La Cu Ru
2 1 1
Direct
0.000 0.000 0.000
0.277 0.500 0.554
0.707 0.000 0.414
0.558 0.500 0.115

Entry 4:
NaSrZn2Ni (PBE-GGA, relaxed); spin magnetization = 0.000 μB/atom; crystal system = tetragonal; ΔH_f (0 K) = 12 meV per atom
1.0
4.774 0.000 0.000
0.000 4.774 0.000
0.000 0.000 5.078
Na Sr Zn Ni
1 1 2 1
Direct
0.000 0.000 0.000
0.500 0.500 0.000
0.000 0.500 0.500
0.500 0.000 0.500
0.000 0.000 0.500

Entry 5:
ZrRh (PBE-GGA, relaxed); spin magnetization = 0.000 μB/atom; crystal system = hexagonal; ΔH_f (0 K) = -453 meV per atom
1.0
7.447 0.000 0.000
-3.723 6.449 0.000
0.000 0.000 5.097
Zr Rh
6 6
Direct
0.101 0.345 0.250
0.245 0.899 0.250
0.345 0.245 0.750
0.655 0.755 0.250
0.755 0.101 0.750
0.899 0.655 0.750
0.123 0.452 0.750
0.329 0.877 0.750
0.452 0.329 0.250
0.548 0.671 0.750
0.671 0.123 0.250
0.877 0.548 0.250

Entry 6:
Rb2PrOs3O12 (PBE-GGA, relaxed); spin magnetization = 0.108 μB/atom; crystal system = trigonal; uncorrected formation energy = -1457.3 meV/atom
1.0
3.691 2.131 6.251
-3.691 2.131 6.251
0.000 -4.262 6.251
Rb Pr Os O
2 1 3 12
Direct
0.120 0.120 0.120
0.880 0.880 0.880
0.500 0.500 0.500
0.000 0.500 0.500
0.500 0.000 0.500
0.500 0.500 0.000
0.116 0.592 0.592
0.204 0.204 0.581
0.204 0.581 0.204
0.408 0.408 0.884
0.408 0.884 0.408
0.419 0.796 0.796
0.581 0.204 0.204
0.592 0.116 0.592
0.592 0.592 0.116
0.796 0.419 0.796
0.796 0.796 0.419
0.884 0.408 0.408

Entry 7:
NaScTe2 (PBE-GGA, relaxed); spin magnetization = 0.000 μB/atom; crystal system = tetragonal; uncorrected formation energy = -1002.5 meV/atom
1.0
7.146 0.000 0.000
0.000 7.146 0.000
0.000 0.000 12.349
Na Sc Te
4 4 8
Direct
0.000 0.000 0.000
0.000 0.500 0.250
0.500 0.000 0.750
0.500 0.500 0.500
0.000 0.000 0.500
0.000 0.500 0.750
0.500 0.000 0.250
0.500 0.500 0.000
0.209 0.250 0.625
0.250 0.709 0.875
0.250 0.791 0.375
0.291 0.250 0.125
0.709 0.750 0.125
0.750 0.209 0.375
0.750 0.291 0.875
0.791 0.750 0.625

Entry 8:
LuZnCoAg (PBE-GGA, relaxed); spin magnetization = 0.002 μB/atom; crystal system = cubic; ΔH_f (0 K) = -74 meV per atom
1.0
6.459 0.000 0.000
0.000 6.459 0.000
0.000 0.000 6.459
Lu Zn Co Ag
4 4 4 4
Direct
0.000 0.000 0.000
0.000 0.500 0.500
0.500 0.000 0.500
0.500 0.500 0.000
0.000 0.000 0.500
0.000 0.500 0.000
0.500 0.000 0.000
0.500 0.500 0.500
0.250 0.250 0.750
0.250 0.750 0.250
0.750 0.250 0.250
0.750 0.750 0.750
0.250 0.250 0.250
0.250 0.750 0.750
0.750 0.250 0.750
0.750 0.750 0.250

Entry 9:
CaLa3Tb2Sm6 (PBE-GGA, relaxed); spin magnetization = 0.000 μB/atom; crystal system = monoclinic; ΔH_f (0 K) = 46 meV per atom
1.0
3.179 -5.514 0.000
3.179 5.514 0.000
-2.125 0.000 11.918
Ca La Tb Sm
1 3 2 6
Direct
0.000 0.000 0.000
0.166 0.834 0.500
0.500 0.500 0.500
0.834 0.166 0.500
0.333 0.667 0.000
0.667 0.333 0.000
0.083 0.423 0.248
0.257 0.257 0.752
0.423 0.083 0.248
0.577 0.917 0.752
0.743 0.743 0.248
0.917 0.577 0.752

Entry 10:
LiMgAu2 (PBE-GGA, relaxed); spin magnetization = 0.000 μB/atom; crystal system = monoclinic; ΔH_f (0 K) = -512 meV per atom
1.0
9.730 0.000 0.000
0.000 3.087 0.000
-0.956 0.000 4.609
Li Mg Au
2 2 4
Direct
0.000 0.000 0.000
0.500 0.500 0.000
0.225 0.000 0.660
0.725 0.500 0.660
0.239 0.500 0.159
0.485 0.000 0.489
0.739 0.000 0.159
0.985 0.500 0.489

Entry 11:
Tl2TcOs (PBE-GGA, relaxed); spin magnetization = 0.000 μB/atom; crystal system = tetragonal; ΔH_f (0 K) = 1111 meV per atom
1.0
4.170 0.000 0.000
0.000 4.170 0.000
0.000 0.000 8.509
Tl Tc Os
4 2 2
Direct
0.000 0.000 0.000
0.000 0.500 0.250
0.500 0.000 0.750
0.500 0.500 0.500
0.000 0.000 0.500
0.500 0.500 0.000
0.000 0.500 0.750
0.500 0.000 0.250

Entry 12:
Ba2RuPb (PBE-GGA, relaxed); spin magnetization = 0.344 μB/atom; crystal system = orthorhombic; ΔH_f (0 K) = 371 meV per atom
1.0
7.519 0.000 0.000
0.000 9.345 0.000
0.000 0.000 3.786
Ba Ru Pb
4 2 2
Direct
0.250 0.250 0.000
0.250 0.750 0.000
0.750 0.250 0.000
0.750 0.750 0.000
0.000 0.000 0.500
0.500 0.500 0.500
0.000 0.500 0.500
0.500 0.000 0.500

Entry 13:
Ba4Ta (PBE-GGA, relaxed); spin magnetization = 0.000 μB/atom; crystal system = cubic; ΔH_f (0 K) = 770 meV per atom
1.0
6.418 0.000 0.000
0.000 6.418 0.000
0.000 0.000 6.418
Ba Ta
4 1
Direct
0.000 0.000 0.000
0.000 0.500 0.500
0.500 0.000 0.500
0.500 0.500 0.000
0.500 0.500 0.500

Entry 14:
Nd2TePd (PBE-GGA, relaxed); spin magnetization = 0.001 μB/atom; crystal system = tetragonal; uncorrected formation energy = -930.3 meV/atom
1.0
3.811 0.000 0.000
0.000 3.811 0.000
0.000 0.000 7.352
Nd Te Pd
2 1 1
Direct
0.000 0.000 0.233
0.000 0.000 0.767
0.500 0.500 0.500
0.500 0.500 0.000

Entry 15:
FeNiAg2 (PBE-GGA, relaxed); spin magnetization = 0.917 μB/atom; crystal system = tetragonal; ΔH_f (0 K) = 387 meV per atom
1.0
3.844 0.000 0.000
0.000 3.844 0.000
0.000 0.000 4.039
Fe Ni Ag
1 1 2
Direct
0.000 0.000 0.000
0.500 0.500 0.000
0.000 0.500 0.500
0.500 0.000 0.500

Entry 16:
Sm2MnZn2Rh5 (PBE-GGA, relaxed); spin magnetization = 0.449 μB/atom; crystal system = tetragonal; ΔH_f (0 K) = -454 meV per atom
1.0
9.707 0.000 0.000
0.000 9.707 0.000
0.000 0.000 3.637
Sm Mn Zn Rh
4 2 4 10
Direct
0.175 0.325 0.000
0.325 0.825 0.000
0.675 0.175 0.000
0.825 0.675 0.000
0.000 0.000 0.000
0.500 0.500 0.000
0.124 0.624 0.000
0.376 0.124 0.000
0.624 0.876 0.000
0.876 0.376 0.000
0.000 0.500 0.500
0.065 0.799 0.500
0.201 0.065 0.500
0.299 0.565 0.500
0.435 0.299 0.500
0.500 0.000 0.500
0.565 0.701 0.500
0.701 0.435 0.500
0.799 0.935 0.500
0.935 0.201 0.500

Entry 17:
TbTmHfN3 (PBE-GGA, relaxed); spin magnetization = 0.000 μB/atom; crystal system = monoclinic; uncorrected formation energy = -1559.3 meV/atom
1.0
5.703 0.000 0.000
0.000 3.337 0.000
-1.724 0.000 8.608
Tb Tm Hf N
2 2 2 6
Direct
0.161 0.250 0.199
0.839 0.750 0.801
0.351 0.250 0.860
0.649 0.750 0.140
0.266 0.750 0.543
0.734 0.250 0.457
0.044 0.250 0.648
0.248 0.750 0.007
0.467 0.750 0.357
0.533 0.250 0.643
0.752 0.250 0.993
0.956 0.750 0.352

Entry 18:
Tb5Mg6 (PBE-GGA, relaxed); spin magnetization = 0.009 μB/atom; crystal system = monoclinic; ΔH_f (0 K) = 30 meV per atom
1.0
8.316 -3.739 0.000
8.316 3.739 0.000
-1.706 0.000 5.051
Tb Mg
5 6
Direct
0.000 0.000 0.000
0.162 0.162 0.663
0.306 0.306 0.305
0.694 0.694 0.695
0.838 0.838 0.337
0.144 0.565 0.853
0.287 0.713 0.500
0.435 0.856 0.147
0.565 0.144 0.853
0.713 0.287 0.500
0.856 0.435 0.147

Entry 19:
Pr2Tl5In (PBE-GGA, relaxed); spin magnetization = 0.000 μB/atom; crystal system = orthorhombic; ΔH_f (0 K) = -339 meV per atom
1.0
6.837 0.000 0.000
0.000 13.679 0.000
0.000 0.000 4.827
Pr Tl In
4 10 2
Direct
0.248 0.125 0.000
0.252 0.625 0.000
0.748 0.375 0.000
0.752 0.875 0.000
0.000 0.000 0.500
0.002 0.749 0.500
0.246 0.376 0.000
0.254 0.876 0.000
0.498 0.249 0.500
0.500 0.500 0.500
0.502 0.751 0.500
0.746 0.124 0.000
0.754 0.624 0.000
0.998 0.251 0.500
0.000 0.500 0.500
0.500 0.000 0.500

Entry 20:
Cd2InRu (PBE-GGA, relaxed); spin magnetization = 0.000 μB/atom; crystal system = cubic; ΔH_f (0 K) = 371 meV per atom
1.0
6.742 0.000 0.000
0.000 6.742 0.000
0.000 0.000 6.742
Cd In Ru
8 4 4
Direct
0.250 0.250 0.250
0.250 0.250 0.750
0.250 0.750 0.250
0.250 0.750 0.750
0.750 0.250 0.250
0.750 0.250 0.750
0.750 0.750 0.250
0.750 0.750 0.750
0.000 0.000 0.000
0.000 0.500 0.500
0.500 0.000 0.500
0.500 0.500 0.000
0.000 0.000 0.500
0.000 0.500 0.000
0.500 0.000 0.000
0.500 0.500 0.500